Entry 1:
Here is an optimized crystal structure of Tb6HoTm3 from Alexandria via LeMat-Bulk. Energies are from GGA-PBE.

Output
The formation energy comes out at 3.45 kcal/mol of atoms. The energy above the most stable polymorph in this dataset is 23 meV per atom. The value obtained for the density of states at the Fermi level is 27.68 states/eV per cell. As for the theoretical density: 8.522 g/cm³.

a = 6.1443 Å, b = 10.9028 Å, c = 10.9028 Å
α = 119.86°, β = 90.00°, γ = 90.00°
Closest atoms and distances in Å follow each position.
Fractional positions:
Tb 0.0365 0.7102 0.6197  4 Tm 3.38-3.59, 5 Tb 3.40-3.73
Tb 0.5365 0.6197 0.7102  4 Tm 3.38-3.59, 5 Tb 3.40-3.73
Tb 0.3579 0.5332 0.9529  5 Tb 3.20-3.43, 2 Tm 3.25-3.56, 2 Ho 3.31-3.38
Tb 0.8579 0.9529 0.5332  5 Tb 3.20-3.43, 2 Tm 3.25-3.56, 2 Ho 3.31-3.38
Tb 0.4192 0.9538 0.0462  1 Ho 3.30, 4 Tm 3.48-3.59, 2 Tb 3.53
Tb 0.6468 0.2807 0.7193  4 Tb 3.20-3.37, 1 Tm 3.32, 2 Ho 3.36-3.42
Tb 0.1468 0.7193 0.2807  4 Tb 3.20-3.37, 1 Tm 3.32, 2 Ho 3.36-3.42
Tb 0.9192 0.0462 0.9538  1 Ho 3.30, 4 Tm 3.48-3.59, 2 Tb 3.53
Tb 0.3579 0.0471 0.4668  5 Tb 3.20-3.43, 2 Tm 3.25-3.56, 2 Ho 3.31-3.38
Tb 0.8579 0.4668 0.0471  5 Tb 3.20-3.43, 2 Tm 3.25-3.56, 2 Ho 3.31-3.38
Tb 0.0365 0.3803 0.2898  4 Tm 3.38-3.59, 5 Tb 3.40-3.73
Tb 0.5365 0.2898 0.3803  4 Tm 3.38-3.59, 5 Tb 3.40-3.73
Ho 0.1414 0.2051 0.7949  3 Tm 3.24-3.49, 7 Tb 3.30-3.42
Ho 0.6414 0.7949 0.2051  3 Tm 3.24-3.49, 7 Tb 3.30-3.42
Tm 0.4582 0.9401 0.7212  1 Ho 3.24, 6 Tb 3.25-3.59
Tm 0.9582 0.7212 0.9401  1 Ho 3.24, 6 Tb 3.25-3.59
Tm 0.0730 0.3889 0.6111  7 Tb 3.32-3.69, 1 Ho 3.49, 2 Tm 3.68
Tm 0.5730 0.6111 0.3889  7 Tb 3.32-3.69, 1 Ho 3.49, 2 Tm 3.68
Tm 0.9582 0.0599 0.2788  1 Ho 3.24, 6 Tb 3.25-3.59
Tm 0.4582 0.2788 0.0599  1 Ho 3.24, 6 Tb 3.25-3.59

Entry 2:
Here is an optimized crystal structure of Tb2Ho5Tm5 from Alexandria via LeMat-Bulk. Energies are from GGA-PBE.

Output
The formation energy comes out at 0.53 kcal/mol of atoms. The value obtained for the density of states at the Fermi level is 16.62 states/eV per cell. As for the theoretical density: 9.014 g/cm³.

a = 4.9565 Å, b = 7.8418 Å, c = 10.5280 Å
α = 72.67°, β = 76.38°, γ = 71.58°
Closest atoms and distances in Å follow each position.
Fractional positions:
Tb 0.9168 0.4172 0.7492  7 Ho 3.50-3.52, 5 Tm 3.51-3.52
Tb 0.0832 0.5828 0.2508  7 Ho 3.50-3.52, 5 Tm 3.51-3.52
Ho 0.5000 0.5000 0.5000  4 Tb 3.50, 6 Tm 3.51, 2 Ho 3.51
Ho 0.3337 0.3330 0.9997  5 Tm 3.50-3.51, 4 Ho 3.50-3.51, 3 Tb 3.51-3.52
Ho 0.4160 0.9178 0.2503  7 Tm 3.49-3.51, 3 Ho 3.50-3.51, 2 Tb 3.51
Ho 0.5840 0.0822 0.7497  7 Tm 3.49-3.51, 3 Ho 3.50-3.51, 2 Tb 3.51
Ho 0.6663 0.6670 0.0003  5 Tm 3.50-3.51, 4 Ho 3.50-3.51, 3 Tb 3.51-3.52
Tm 0.8327 0.8346 0.5001  5 Ho 3.49-3.51, 5 Tm 3.49-3.50, 2 Tb 3.51
Tm 0.2497 0.7508 0.7498  6 Ho 3.50-3.51, 4 Tm 3.50-3.51, 2 Tb 3.51
Tm 0.7503 0.2492 0.2502  6 Ho 3.50-3.51, 4 Tm 3.50-3.51, 2 Tb 3.51
Tm 0.1673 0.1654 0.4999  5 Ho 3.49-3.51, 5 Tm 3.49-3.50, 2 Tb 3.51
Tm 0.0000 0.0000 0.0000  8 Ho 3.50-3.51, 2 Tm 3.51, 2 Tb 3.52

Entry 3:
Here is an optimized crystal structure of Tb4Ho3Tm4 from Alexandria via LeMat-Bulk. Energies are from GGA-PBE.

Output
The formation energy comes out at 0.46 kcal/mol of atoms. The energy above the most stable polymorph in this dataset is 0 meV per atom. The value obtained for the density of states at the Fermi level is 12.94 states/eV per cell. As for the theoretical density: 8.869 g/cm³.

a = 3.5152 Å, b = 4.9724 Å, c = 19.5845 Å
α = 97.29°, β = 95.13°, γ = 89.98°
Closest atoms and distances in Å follow each position.
Fractional positions:
Tb 0.5458 0.5455 0.0913  5 Ho 3.51-3.52, 3 Tb 3.52-3.53, 4 Tm 3.52
Tb 0.4542 0.4545 0.9086  5 Ho 3.51-3.52, 3 Tb 3.52-3.53, 4 Tm 3.52
Tb 0.8179 0.8183 0.6358  6 Tm 3.50-3.52, 2 Tb 3.52, 4 Ho 3.52
Tb 0.1821 0.1818 0.3643  6 Tm 3.50-3.52, 2 Tb 3.52, 4 Ho 3.52
Ho 0.6367 0.6361 0.2730  5 Tm 3.51-3.52, 5 Tb 3.51-3.52, 2 Ho 3.52
Ho 0.3633 0.3639 0.7271  5 Tm 3.51-3.52, 5 Tb 3.51-3.52, 2 Ho 3.52
Ho 0.0000 0.0000 0.0000  2 Ho 3.52, 8 Tb 3.52, 2 Tm 3.53
Tm 0.0914 0.0910 0.1825  5 Ho 3.51-3.53, 2 Tm 3.52, 5 Tb 3.52
Tm 0.2726 0.2727 0.5450  5 Tb 3.50-3.52, 6 Tm 3.51-3.52, 1 Ho 3.52
Tm 0.7274 0.7274 0.4551  5 Tb 3.50-3.52, 6 Tm 3.51-3.52, 1 Ho 3.52
Tm 0.9086 0.9090 0.8175  5 Ho 3.51-3.53, 5 Tb 3.51-3.52, 2 Tm 3.52

Entry 4:
Here is an optimized crystal structure of TbHo8Tm2 from Alexandria via LeMat-Bulk. Energies are from GGA-PBE.

Output
The formation energy comes out at 4.60 kcal/mol of atoms. The energy above the most stable polymorph in this dataset is 38 meV per atom. The value obtained for the density of states at the Fermi level is 15.29 states/eV per cell. As for the theoretical density: 8.789 g/cm³.

a = 6.4313 Å, b = 9.1332 Å, c = 9.1332 Å
α = 42.89°, β = 71.47°, γ = 71.47°
Closest atoms and distances in Å follow each position.
Fractional positions:
Tb 0.0000 0.0000 0.0000  10 Ho 3.46-3.69
Ho 0.3115 0.3396 0.8669  5 Ho 3.16-3.52, 2 Tm 3.24-3.29, 1 Tb 3.46
Ho 0.6885 0.1331 0.6604  5 Ho 3.16-3.52, 2 Tm 3.24-3.29, 1 Tb 3.46
Ho 0.3261 0.7892 0.7892  4 Tm 3.41-3.64, 1 Tb 3.48, 4 Ho 3.65-3.77
Ho 0.6739 0.2108 0.2108  4 Tm 3.41-3.64, 1 Tb 3.48, 4 Ho 3.65-3.77
Ho 0.3115 0.8669 0.3396  5 Ho 3.16-3.52, 2 Tm 3.24-3.29, 1 Tb 3.46
Ho 0.6885 0.6604 0.1331  5 Ho 3.16-3.52, 2 Tm 3.24-3.29, 1 Tb 3.46
Ho 0.7520 0.5576 0.5576  5 Ho 3.12-3.39, 1 Tm 3.14
Ho 0.2480 0.4424 0.4424  5 Ho 3.12-3.39, 1 Tm 3.14
Tm 0.8935 0.7168 0.7168  7 Ho 3.14-3.43
Tm 0.1065 0.2832 0.2832  7 Ho 3.14-3.43

> Among the records above, which one has the highest theoretical density?

Tb2Ho5Tm5